Record 1
# Rb3MgCd2Br9 PBE optimized geometry
# **Magnetization**: 0.0 μB per formula unit
# **SG**: P-3m1
# **Raw total energy**: -41.0 eV for the cell shown
data_Rb3MgCd2Br9
_chemical_formula_sum 'Rb3 Mg1 Cd2 Br9'
_symmetry_space_group_name_H-M 'P 1'
_symmetry_Int_Tables_number 1
_cell_length_a 7.797
_cell_length_b 7.797
_cell_length_c 9.560
_cell_angle_alpha 90.00
_cell_angle_beta 90.00
_cell_angle_gamma 120.00
loop_
_symmetry_equiv_pos_as_xyz
'x,y,z'
loop_
_atom_site_label
_atom_site_type_symbol
_atom_site_fract_x
_atom_site_fract_y
_atom_site_fract_z
_atom_site_occupancy
Rb1 Rb 0.000 0.000 0.000 1
Rb2 Rb 0.333 0.667 0.667 1
Rb3 Rb 0.667 0.333 0.333 1
Mg1 Mg 0.000 0.000 0.500 1
Cd1 Cd 0.333 0.667 0.172 1
Cd2 Cd 0.667 0.333 0.828 1
Br1 Br 0.000 0.500 0.000 1
Br2 Br 0.163 0.326 0.338 1
Br3 Br 0.163 0.837 0.338 1
Br4 Br 0.326 0.163 0.662 1
Br5 Br 0.500 0.000 0.000 1
Br6 Br 0.500 0.500 0.000 1
Br7 Br 0.674 0.837 0.338 1
Br8 Br 0.837 0.163 0.662 1
Br9 Br 0.837 0.674 0.662 1



Record 2
# CaErGa2Pt2 PBE optimized geometry
# **Magnetization**: 0.0 μB per formula unit
# **DFT formation energy**: -0.99 eV/atom
# **SG**: P-3m1
# **Raw total energy**: -30.6 eV for the cell shown
data_CaErGa2Pt2
_chemical_formula_sum 'Ca1 Er1 Ga2 Pt2'
_symmetry_space_group_name_H-M 'P 1'
_symmetry_Int_Tables_number 1
_cell_length_a 4.425
_cell_length_b 4.425
_cell_length_c 7.333
_cell_angle_alpha 90.00
_cell_angle_beta 90.00
_cell_angle_gamma 120.00
loop_
_symmetry_equiv_pos_as_xyz
'x,y,z'
loop_
_atom_site_label
_atom_site_type_symbol
_atom_site_fract_x
_atom_site_fract_y
_atom_site_fract_z
_atom_site_occupancy
Ca1 Ca 0.000 0.000 0.000 1
Er1 Er 0.000 0.000 0.500 1
Ga1 Ga 0.333 0.667 0.732 1
Ga2 Ga 0.667 0.333 0.268 1
Pt1 Pt 0.333 0.667 0.281 1
Pt2 Pt 0.667 0.333 0.719 1



Among the records above, which one has the highest raw total energy?
CaErGa2Pt2



Which formula does entry 2 have?
CaErGa2Pt2